Nd8Bi2Ru | Alexandria | PBE-GGA | optimized geometry; D(E_F) = 1.0521 states/eV per atom; calculated formation energy = -0.353 eV per atom; DFT total energy = -5.37 eV per atom; magnetization = 0.0 μB/f.u.
1.0
9.843 -2.406 0.000
9.843 2.406 0.000
-1.140 0.000 7.489
Nd Bi Ru
8 2 1
Direct
0.004 0.004 0.278
0.215 0.215 0.848
0.361 0.361 0.466
0.406 0.406 0.989
0.594 0.594 0.011
0.639 0.639 0.534
0.785 0.785 0.152
0.996 0.996 0.722
0.182 0.182 0.275
0.818 0.818 0.725
0.500 0.500 0.500